A plane-wave DFT calculation with meta-GGA SCAN was carried out for a crystal of BeCrPb2W relaxed with PBEsol.

Cell: 4.4608 5.0612 5.0612 Å, 90.00 90.00 90.00°
Last column: nearest neighbours and their distance in Å.
Fractional coordinates of all 5 atoms:
Pb: 0.0000 0.0000 0.5000  2 Cr 2.53
Pb: 0.0000 0.5000 0.0000  2 Cr 2.53
Cr: 0.0000 0.0000 0.0000  2 W 2.23
W: 0.5000 0.0000 0.0000  2 Cr 2.23
Be: 0.5000 0.5000 0.5000  8 Pb 3.37, 4 W 3.58

Calculated values
VASP energy, eV per atom: -47.2743
ΔH_f (0 K), eV/atom: 1.52
DOS(E_F), states/eV per atom: 0.6699